[1]
First-principles (PBE) data for crystalline Tl2ReAuBr at its relaxed geometry, as listed in Alexandria via LeMat-Bulk.

For the uncorrected formation energy, the calculation gives 59.6 kJ/mol of atoms.

It has space group P4/mmm (No. 123), with a = 5.493 Å, b = 5.493 Å, c = 4.946 Å, α = 90.00°, β = 90.00° and γ = 90.00°. The asymmetric unit holds Tl at (0.000, 0.500, 0.000), Re at (0.000, 0.000, 0.000), Au at (0.000, 0.000, 0.500) and Br at (0.500, 0.500, 0.500).


[2]
First-principles (PBE) data for crystalline Er12Zn3Co5 at its relaxed geometry, as listed in Alexandria via LeMat-Bulk.

The energy relative to the elements is 147 meV per atom.

It has space group Ia-3d (No. 230), with a = 16.135 Å, b = 16.135 Å, c = 16.135 Å, α = 90.00°, β = 90.00° and γ = 90.00°. The asymmetric unit holds Er at (0.029, 0.059, 0.647), Zn at (0.000, 0.250, 0.125), Co at (0.000, 0.000, 0.000) and Co at (0.000, 0.250, 0.375).


[3]
First-principles (PBE) data for crystalline Al2Cu4Au3 at its relaxed geometry, as listed in Alexandria via LeMat-Bulk.

The energy relative to the elements is -200 meV per atom.

It has space group P-1 (No. 2), with a = 4.546 Å, b = 4.842 Å, c = 7.111 Å, α = 72.02°, β = 78.08° and γ = 62.54°. The asymmetric unit holds Al at (0.230, 0.038, 0.322), Cu at (0.113, 0.273, 0.663), Cu at (0.321, 0.860, 0.996), Au at (0.000, 0.500, 0.000) and Au at (0.450, 0.630, 0.668).


Sequential DOS at the Fermi energy output: 0.80; 0.82; 0.20 states/eV per atom
Sequential spin magnetization output: 0.0; 0.0; 0.0 μB per formula unit